Entry 1:
# YErZnSn, optimized geometry, DFT PBE-GGA
data_YErZnSn
_cell_length_a 5.167
_cell_length_b 5.167
_cell_length_c 5.167
_cell_angle_alpha 60.00
_cell_angle_beta 60.00
_cell_angle_gamma 60.00
_symmetry_space_group_name_H-M 'P 1'
_symmetry_Int_Tables_number 1
loop_
_symmetry_equiv_pos_as_xyz
'x,y,z'
loop_
_atom_site_label
_atom_site_fract_x
_atom_site_fract_y
_atom_site_fract_z
Y1 0.500 0.500 0.500
Zn1 0.750 0.750 0.750
Sn1 0.250 0.250 0.250
Er1 0.000 0.000 0.000
# ΔE_f	-0.50	eV/atom
# E	-0.1682	hartree per atom
# symmetry	F-43m, No. 216
# DOS at the Fermi energy	2.1	states/eV/cell
# magnetization	0.00	Bohr magnetons per cell


Entry 2:
# ErZnSn, optimized geometry, DFT PBE-GGA
data_ErZnSn
_cell_length_a 3.458
_cell_length_b 3.458
_cell_length_c 6.261
_cell_angle_alpha 106.03
_cell_angle_beta 106.03
_cell_angle_gamma 90.00
_symmetry_space_group_name_H-M 'P 1'
_symmetry_Int_Tables_number 1
loop_
_symmetry_equiv_pos_as_xyz
'x,y,z'
loop_
_atom_site_label
_atom_site_fract_x
_atom_site_fract_y
_atom_site_fract_z
Zn1 0.613 0.613 0.227
Sn1 0.966 0.966 0.932
Er1 0.271 0.271 0.541
# ΔE_f	-0.28	eV/atom
# E	-0.1310	hartree per atom
# symmetry	I4mm, No. 107
# DOS at the Fermi energy	2.1	states/eV/cell
# magnetization	0.00	Bohr magnetons per cell


Entry 3:
# ErZnSn, optimized geometry, DFT PBE-GGA
data_ErZnSn
_cell_length_a 4.650
_cell_length_b 4.650
_cell_length_c 4.650
_cell_angle_alpha 60.00
_cell_angle_beta 60.00
_cell_angle_gamma 60.00
_symmetry_space_group_name_H-M 'P 1'
_symmetry_Int_Tables_number 1
loop_
_symmetry_equiv_pos_as_xyz
'x,y,z'
loop_
_atom_site_label
_atom_site_fract_x
_atom_site_fract_y
_atom_site_fract_z
Zn1 0.250 0.250 0.250
Sn1 0.000 0.000 0.000
Er1 0.500 0.500 0.500
# ΔE_f	-0.37	eV/atom
# E	-0.1343	hartree per atom
# symmetry	F-43m, No. 216
# DOS at the Fermi energy	1.6	states/eV/cell
# magnetization	0.00	Bohr magnetons per cell


Entry 4:
# Er2ZnSn, optimized geometry, DFT PBE-GGA
data_Er2ZnSn
_cell_length_a 4.268
_cell_length_b 5.996
_cell_length_c 8.433
_cell_angle_alpha 111.23
_cell_angle_beta 90.00
_cell_angle_gamma 90.00
_symmetry_space_group_name_H-M 'P 1'
_symmetry_Int_Tables_number 1
loop_
_symmetry_equiv_pos_as_xyz
'x,y,z'
loop_
_atom_site_label
_atom_site_fract_x
_atom_site_fract_y
_atom_site_fract_z
Er1 0.750 0.221 0.421
Er2 0.250 0.779 0.579
Er3 0.250 0.796 0.065
Er4 0.750 0.204 0.935
Zn1 0.250 0.340 0.207
Zn2 0.750 0.660 0.793
Sn1 0.750 0.662 0.288
Sn2 0.250 0.338 0.712
# ΔE_f	-0.52	eV/atom
# E	-0.1513	hartree per atom
# symmetry	P2_1/m, No. 11
# DOS at the Fermi energy	8.8	states/eV/cell
# magnetization	0.00	Bohr magnetons per cell


Entry 5:
# Er2Zn3Sn, optimized geometry, DFT PBE-GGA
data_Er2Zn3Sn
_cell_length_a 5.760
_cell_length_b 5.760
_cell_length_c 9.064
_cell_angle_alpha 113.20
_cell_angle_beta 113.20
_cell_angle_gamma 76.14
_symmetry_space_group_name_H-M 'P 1'
_symmetry_Int_Tables_number 1
loop_
_symmetry_equiv_pos_as_xyz
'x,y,z'
loop_
_atom_site_label
_atom_site_fract_x
_atom_site_fract_y
_atom_site_fract_z
Er1 0.750 0.250 0.500
Er2 0.757 0.243 0.000
Er3 0.250 0.750 0.500
Er4 0.243 0.757 0.000
Zn1 0.837 0.837 0.160
Zn2 0.677 0.677 0.840
Zn3 0.163 0.163 0.840
Zn4 0.323 0.323 0.160
Zn5 0.161 0.161 0.322
Zn6 0.839 0.839 0.678
Sn1 0.666 0.666 0.331
Sn2 0.334 0.334 0.669
# ΔE_f	-0.47	eV/atom
# E	-0.1210	hartree per atom
# symmetry	Fmmm, No. 69
# DOS at the Fermi energy	6.4	states/eV/cell
# magnetization	0.00	Bohr magnetons per cell


Entry 6:
# Er4ZnSn3, optimized geometry, DFT PBE-GGA
data_Er4ZnSn3
_cell_length_a 4.384
_cell_length_b 4.262
_cell_length_c 11.226
_cell_angle_alpha 90.00
_cell_angle_beta 90.00
_cell_angle_gamma 90.00
_symmetry_space_group_name_H-M 'P 1'
_symmetry_Int_Tables_number 1
loop_
_symmetry_equiv_pos_as_xyz
'x,y,z'
loop_
_atom_site_label
_atom_site_fract_x
_atom_site_fract_y
_atom_site_fract_z
Er1 0.500 0.500 0.355
Er2 0.000 0.500 0.868
Er3 0.000 0.000 0.134
Er4 0.500 0.000 0.638
Zn1 0.500 0.500 0.083
Sn1 0.000 0.500 0.595
Sn2 0.000 0.000 0.407
Sn3 0.500 0.000 0.920
# ΔE_f	-0.60	eV/atom
# E	-0.1669	hartree per atom
# symmetry	Pmm2, No. 25
# DOS at the Fermi energy	6.8	states/eV/cell
# magnetization	0.00	Bohr magnetons per cell


Entry 7:
# Er7Zn2Sn2, optimized geometry, DFT PBE-GGA
data_Er7Zn2Sn2
_cell_length_a 6.801
_cell_length_b 7.161
_cell_length_c 6.801
_cell_angle_alpha 90.00
_cell_angle_beta 108.48
_cell_angle_gamma 90.00
_symmetry_space_group_name_H-M 'P 1'
_symmetry_Int_Tables_number 1
loop_
_symmetry_equiv_pos_as_xyz
'x,y,z'
loop_
_atom_site_label
_atom_site_fract_x
_atom_site_fract_y
_atom_site_fract_z
Er1 0.000 0.270 0.500
Er2 0.500 0.730 0.000
Er3 0.000 0.730 0.500
Er4 0.500 0.270 0.000
Er5 0.000 0.000 0.000
Er6 0.500 0.761 0.500
Er7 0.500 0.239 0.500
Zn1 0.713 0.000 0.287
Zn2 0.287 0.000 0.713
Sn1 0.817 0.500 0.817
Sn2 0.183 0.500 0.183
# ΔE_f	-0.13	eV/atom
# E	-0.1466	hartree per atom
# symmetry	Cmmm, No. 65
# DOS at the Fermi energy	12.7	states/eV/cell
# magnetization	0.00	Bohr magnetons per cell


Entry 8:
# Er4ZnSn, optimized geometry, DFT PBE-GGA
data_Er4ZnSn
_cell_length_a 5.912
_cell_length_b 8.455
_cell_length_c 8.097
_cell_angle_alpha 114.80
_cell_angle_beta 102.61
_cell_angle_gamma 106.33
_symmetry_space_group_name_H-M 'P 1'
_symmetry_Int_Tables_number 1
loop_
_symmetry_equiv_pos_as_xyz
'x,y,z'
loop_
_atom_site_label
_atom_site_fract_x
_atom_site_fract_y
_atom_site_fract_z
Er1 0.051 0.216 0.842
Er2 0.775 0.705 0.637
Er3 0.292 0.626 0.842
Er4 0.362 0.932 0.637
Er5 0.638 0.068 0.363
Er6 0.708 0.374 0.158
Er7 0.225 0.295 0.363
Er8 0.949 0.784 0.158
Zn1 0.250 0.000 0.999
Zn2 0.750 0.000 0.001
Sn1 0.372 0.622 0.244
Sn2 0.628 0.378 0.756
# ΔE_f	-0.32	eV/atom
# E	-0.1558	hartree per atom
# symmetry	C2/c, No. 15
# DOS at the Fermi energy	15.3	states/eV/cell
# magnetization	0.00	Bohr magnetons per cell